First-principles (GGA-PBE) data for a relaxed structure of Hg3As8S8Br6, as listed in the Open Quantum Materials Database.

Cell and atoms, written as POSCAR:
```
Hg3As8S8Br6
1.0
-3.5058 1.5708 8.0921
-12.2280 -8.6655 -3.6156
8.7753 -11.8752 -1.2168
As Br Hg S
16 12 6 16
Direct
0.8943 0.4042 0.0920
0.6550 0.6318 0.1969
0.9485 0.0914 0.2354
0.1586 0.4469 0.2390
0.8414 0.9469 0.2610
0.0515 0.5914 0.2646
0.3450 0.1318 0.3031
0.1057 0.9042 0.4080
0.8943 0.0958 0.5920
0.6550 0.8682 0.6969
0.9485 0.4086 0.7354
0.1586 0.0531 0.7390
0.8414 0.5531 0.7610
0.0515 0.9086 0.7646
0.3450 0.3682 0.8031
0.1057 0.5958 0.9080
0.2766 0.0452 0.0243
0.0140 0.2781 0.0453
0.4652 0.5071 0.1559
0.5348 0.0071 0.3441
0.9860 0.7781 0.4547
0.7234 0.5452 0.4757
0.2766 0.4548 0.5243
0.0140 0.2219 0.5453
0.4652 0.9929 0.6559
0.5348 0.4929 0.8441
0.9860 0.7219 0.9547
0.7234 0.9548 0.9757
0.0000 0.0000 0.0000
0.2276 0.6910 0.2119
0.7724 0.1910 0.2881
0.0000 0.5000 0.5000
0.2276 0.8090 0.7119
0.7724 0.3090 0.7881
0.4796 0.7295 0.0859
0.8109 0.5964 0.1158
0.4222 0.7901 0.1901
0.0511 0.8717 0.2480
0.9489 0.3717 0.2520
0.5778 0.2901 0.3099
0.1891 0.0964 0.3842
0.5204 0.2295 0.4141
0.4796 0.7705 0.5859
0.8109 0.9036 0.6158
0.4222 0.7099 0.6901
0.0511 0.6283 0.7480
0.9489 0.1283 0.7520
0.5778 0.2099 0.8099
0.1891 0.4036 0.8842
0.5204 0.2705 0.9141
```

- Volume: 915 Å³/f.u.
- VASP energy: -84.99 eV per formula unit